Here is crystalline La3TbSm2As6 at its relaxed geometry from the Alexandria database. Energies are from PBE.

Its raw total energy is -6.277 eV/atom. As for the density: 6.60 g cm⁻³. The crystal system is monoclinic. For the calculated formation energy, the calculation gives -1.548 eV/atom. The value obtained for the total magnetization is 0.000 μB per cell.

The structure belongs to space group C2/m (No. 12); the cell edges are 7.419, 12.849 and 7.418 Å and the angles 90.00°, 109.47° and 90.00°. Symmetry generates all atoms from La at (0.000, 0.000, 0.000), La at (0.000, 0.333, 0.000), Tb at (0.000, 0.500, 0.500), Sm at (0.000, 0.166, 0.500), As at (0.246, 0.335, 0.741) and As at (0.250, 0.000, 0.741).



Here is crystalline La2Tb3SmAs6 at its relaxed geometry from the Alexandria database. Energies are from PBE.

Its raw total energy is -6.237 eV/atom. As for the density: 7.00 g cm⁻³. The crystal system is monoclinic. For the calculated formation energy, the calculation gives -1.540 eV/atom. The value obtained for the total magnetization is 0.000 μB per cell.

The structure belongs to space group C2/m (No. 12); the cell edges are 18.438, 4.234 and 8.462 Å and the angles 90.00°, 103.24° and 90.00°. Symmetry generates all atoms from La at (0.166, 0.000, 0.332), Tb at (0.000, 0.500, 0.500), Tb at (0.167, 0.000, 0.834), Sm at (0.000, 0.500, 0.000), As at (0.003, 0.000, 0.749), As at (0.164, 0.500, 0.590) and As at (0.167, 0.500, 0.075).



Here is crystalline La2TbSmAs4 at its relaxed geometry from the Alexandria database. Energies are from PBE.

Its raw total energy is -6.273 eV/atom. As for the density: 6.66 g cm⁻³. The crystal system is monoclinic. For the calculated formation energy, the calculation gives -1.548 eV/atom. The value obtained for the total magnetization is 0.000 μB per cell.

The structure belongs to space group P2/m (No. 10); the cell edges are 7.405, 4.279 and 7.406 Å and the angles 90.00°, 109.46° and 90.00°. Symmetry generates all atoms from La at (0.000, 0.000, 0.000), La at (0.000, 0.500, 0.500), Tb at (0.500, 0.000, 0.500), Sm at (0.500, 0.500, 0.000), As at (0.259, 0.000, 0.751) and As at (0.260, 0.500, 0.255).



Here is crystalline La3SmTh2As6 at its relaxed geometry from the Alexandria database. Energies are from PBE.

Its raw total energy is -6.723 eV/atom. As for the density: 7.26 g cm⁻³. The crystal system is monoclinic. For the calculated formation energy, the calculation gives -1.536 eV/atom. The value obtained for the total magnetization is 0.000 μB per cell.

The structure belongs to space group C2/m (No. 12); the cell edges are 7.445, 12.905 and 7.470 Å and the angles 90.00°, 109.39° and 90.00°. Symmetry generates all atoms from La at (0.000, 0.000, 0.000), La at (0.000, 0.334, 0.000), Sm at (0.000, 0.500, 0.500), Th at (0.000, 0.167, 0.500), As at (0.246, 0.000, 0.742) and As at (0.247, 0.333, 0.741).



Here is crystalline La2SmThAs4 at its relaxed geometry from the Alexandria database. Energies are from PBE.

Its raw total energy is -6.620 eV/atom. As for the density: 7.08 g cm⁻³. The crystal system is monoclinic. For the calculated formation energy, the calculation gives -1.546 eV/atom. The value obtained for the total magnetization is 0.000 μB per cell.

The structure belongs to space group P2/m (No. 10); the cell edges are 7.434, 4.301 and 7.467 Å and the angles 90.00°, 109.39° and 90.00°. Symmetry generates all atoms from La at (0.000, 0.000, 0.000), La at (0.500, 0.500, 0.000), Sm at (0.000, 0.500, 0.500), Th at (0.500, 0.000, 0.500), As at (0.248, 0.000, 0.742) and As at (0.253, 0.500, 0.259).



Here is crystalline LaSm2ThAs4 at its relaxed geometry from the Alexandria database. Energies are from PBE.

Its raw total energy is -6.578 eV/atom. As for the density: 7.37 g cm⁻³. The crystal system is monoclinic. For the calculated formation energy, the calculation gives -1.530 eV/atom. The value obtained for the total magnetization is 0.000 μB per cell.

The structure belongs to space group P2/m (No. 10); the cell edges are 7.363, 4.266 and 7.393 Å and the angles 90.00°, 109.47° and 90.00°. Symmetry generates all atoms from La at (0.000, 0.000, 0.000), Sm at (0.500, 0.000, 0.500), Sm at (0.500, 0.500, 0.000), Th at (0.000, 0.500, 0.500), As at (0.252, 0.000, 0.747) and As at (0.254, 0.500, 0.256).



Here is crystalline LaSmTh2As4 at its relaxed geometry from the Alexandria database. Energies are from PBE.

Its raw total energy is -6.873 eV/atom. As for the density: 7.92 g cm⁻³. The crystal system is monoclinic. For the calculated formation energy, the calculation gives -1.488 eV/atom. The value obtained for the total magnetization is 0.000 μB per cell.

The structure belongs to space group P2/m (No. 10); the cell edges are 7.396, 4.277 and 7.404 Å and the angles 90.00°, 109.56° and 90.00°. Symmetry generates all atoms from La at (0.000, 0.000, 0.000), Sm at (0.000, 0.500, 0.500), Th at (0.500, 0.000, 0.500), Th at (0.500, 0.500, 0.000), As at (0.253, 0.000, 0.748) and As at (0.255, 0.500, 0.255).



Here is crystalline LaSm3Th2As6 at its relaxed geometry from the Alexandria database. Energies are from PBE.

Its raw total energy is -6.668 eV/atom. As for the density: 7.65 g cm⁻³. The crystal system is monoclinic. For the calculated formation energy, the calculation gives -1.516 eV/atom. The value obtained for the total magnetization is 0.000 μB per cell.

The structure belongs to space group C2/m (No. 12); the cell edges are 7.376, 12.791 and 7.342 Å and the angles 90.00°, 109.55° and 90.00°. Symmetry generates all atoms from La at (0.000, 0.000, 0.000), Sm at (0.000, 0.165, 0.500), Sm at (0.000, 0.500, 0.500), Th at (0.000, 0.333, 0.000), As at (0.246, 0.500, 0.252) and As at (0.247, 0.331, 0.748).



Here is crystalline LaSm2Th3As6 at its relaxed geometry from the Alexandria database. Energies are from PBE.

Its raw total energy is -6.862 eV/atom. As for the density: 8.03 g cm⁻³. The crystal system is monoclinic. For the calculated formation energy, the calculation gives -1.485 eV/atom. The value obtained for the total magnetization is 0.000 μB per cell.

The structure belongs to space group C2/m (No. 12); the cell edges are 7.393, 12.785 and 7.365 Å and the angles 90.00°, 109.54° and 90.00°. Symmetry generates all atoms from La at (0.000, 0.000, 0.000), Sm at (0.000, 0.333, 0.000), Th at (0.000, 0.166, 0.500), Th at (0.000, 0.500, 0.500), As at (0.246, 0.500, 0.251) and As at (0.247, 0.331, 0.747).



Here is crystalline LaSm2TmAs4 at its relaxed geometry from the Alexandria database. Energies are from PBE.

Its raw total energy is -6.193 eV/atom. As for the density: 7.09 g cm⁻³. The crystal system is monoclinic. For the calculated formation energy, the calculation gives -1.514 eV/atom. The value obtained for the total magnetization is 0.000 μB per cell.

The structure belongs to space group P2/m (No. 10); the cell edges are 7.303, 4.223 and 7.311 Å and the angles 90.00°, 109.42° and 90.00°. Symmetry generates all atoms from La at (0.000, 0.000, 0.000), Sm at (0.000, 0.500, 0.500), Sm at (0.500, 0.000, 0.500), Tm at (0.500, 0.500, 0.000), As at (0.258, 0.500, 0.252) and As at (0.259, 0.000, 0.754).



Here is crystalline La3Sm2TmAs6 at its relaxed geometry from the Alexandria database. Energies are from PBE.

Its raw total energy is -6.252 eV/atom. As for the density: 6.71 g cm⁻³. The crystal system is monoclinic. For the calculated formation energy, the calculation gives -1.537 eV/atom. The value obtained for the total magnetization is 0.000 μB per cell.

The structure belongs to space group C2/m (No. 12); the cell edges are 7.400, 12.817 and 7.396 Å and the angles 90.00°, 109.48° and 90.00°. Symmetry generates all atoms from La at (0.000, 0.000, 0.000), La at (0.000, 0.332, 0.000), Sm at (0.000, 0.166, 0.500), Tm at (0.000, 0.500, 0.500), As at (0.244, 0.336, 0.739) and As at (0.248, 0.500, 0.260).



Here is crystalline La2Sm3TmAs6 at its relaxed geometry from the Alexandria database. Energies are from PBE.

Its raw total energy is -6.221 eV/atom. As for the density: 6.88 g cm⁻³. The crystal system is monoclinic. For the calculated formation energy, the calculation gives -1.522 eV/atom. The value obtained for the total magnetization is 0.000 μB per cell.

The structure belongs to space group C2/m (No. 12); the cell edges are 18.507, 4.249 and 8.496 Å and the angles 90.00°, 103.35° and 90.00°. Symmetry generates all atoms from La at (0.165, 0.000, 0.330), Sm at (0.000, 0.500, 0.500), Sm at (0.167, 0.000, 0.834), Tm at (0.000, 0.500, 0.000), As at (0.002, 0.000, 0.758), As at (0.164, 0.500, 0.076) and As at (0.165, 0.500, 0.588).



Here is crystalline LaSm2UAs4 at its relaxed geometry from the Alexandria database. Energies are from PBE.

Its raw total energy is -6.850 eV/atom. As for the density: 7.63 g cm⁻³. The crystal system is orthorhombic. For the calculated formation energy, the calculation gives -1.319 eV/atom. The value obtained for the total magnetization is 10.169 μB per cell.

The structure belongs to space group F222 (No. 22); the cell edges are 8.426, 8.455 and 11.941 Å and the angles 90.00°, 90.00° and 90.00°. Symmetry generates all atoms from La at (0.000, 0.000, 0.000), Sm at (0.000, 0.000, 0.500), Sm at (0.250, 0.250, 0.250), U at (0.250, 0.250, 0.750), As at (0.000, 0.000, 0.253) and As at (0.250, 0.250, 0.508).



Here is crystalline La2SmUAs4 at its relaxed geometry from the Alexandria database. Energies are from PBE.

Its raw total energy is -6.896 eV/atom. As for the density: 7.35 g cm⁻³. The crystal system is monoclinic. For the calculated formation energy, the calculation gives -1.338 eV/atom. The value obtained for the total magnetization is 2.303 μB per cell.

The structure belongs to space group P2/m (No. 10); the cell edges are 7.364, 4.240 and 7.395 Å and the angles 90.00°, 109.17° and 90.00°. Symmetry generates all atoms from La at (0.000, 0.000, 0.000), La at (0.500, 0.500, 0.000), Sm at (0.000, 0.500, 0.500), U at (0.500, 0.000, 0.500), As at (0.253, 0.000, 0.736) and As at (0.261, 0.500, 0.267).



Here is crystalline La4Sm3UAs8 at its relaxed geometry from the Alexandria database. Energies are from PBE.

Its raw total energy is -6.590 eV/atom. As for the density: 6.92 g cm⁻³. The crystal system is trigonal. For the calculated formation energy, the calculation gives -1.443 eV/atom. The value obtained for the total magnetization is 6.959 μB per cell.

The structure belongs to space group R-3m (No. 166, hexagonal axes); the cell edges are 8.5454, 8.5454 and 20.9925 Å and the angles 90.00°, 90.00° and 120.00°. Symmetry generates all atoms from La at (0.0000, 0.0000, 0.0000), La at (0.0000, 0.5000, 0.0000), Sm at (0.0000, 0.5000, 0.5000), U at (0.0000, 0.0000, 0.5000), As at (0.0000, 0.0000, 0.2476) and As at (0.0069, 0.5035, 0.2456).



Here is crystalline La2SmYAs4 at its relaxed geometry from the Alexandria database. Energies are from PBE.

Its raw total energy is -6.506 eV/atom. As for the density: 6.14 g cm⁻³. The crystal system is monoclinic. For the calculated formation energy, the calculation gives -1.552 eV/atom. The value obtained for the total magnetization is 0.000 μB per cell.

The structure belongs to space group P2/m (No. 10); the cell edges are 7.397, 4.276 and 7.401 Å and the angles 90.00°, 109.47° and 90.00°. Symmetry generates all atoms from La at (0.000, 0.000, 0.000), La at (0.000, 0.500, 0.500), Sm at (0.500, 0.000, 0.500), Y at (0.500, 0.500, 0.000), As at (0.259, 0.500, 0.251) and As at (0.261, 0.000, 0.756).



Here is crystalline La2Sm3YAs6 at its relaxed geometry from the Alexandria database. Energies are from PBE.

Its raw total energy is -6.402 eV/atom. As for the density: 6.43 g cm⁻³. The crystal system is monoclinic. For the calculated formation energy, the calculation gives -1.538 eV/atom. The value obtained for the total magnetization is 0.000 μB per cell.

The structure belongs to space group C2/m (No. 12); the cell edges are 18.546, 4.258 and 8.513 Å and the angles 90.00°, 103.32° and 90.00°. Symmetry generates all atoms from La at (0.165, 0.000, 0.331), Sm at (0.000, 0.500, 0.500), Sm at (0.167, 0.000, 0.834), Y at (0.000, 0.500, 0.000), As at (0.002, 0.000, 0.755), As at (0.165, 0.500, 0.077) and As at (0.165, 0.500, 0.588).



Here is crystalline LaSm2Y3As6 at its relaxed geometry from the Alexandria database. Energies are from PBE.

Its raw total energy is -6.682 eV/atom. As for the density: 6.12 g cm⁻³. The crystal system is monoclinic. For the calculated formation energy, the calculation gives -1.544 eV/atom. The value obtained for the total magnetization is 0.000 μB per cell.

The structure belongs to space group C2/m (No. 12); the cell edges are 7.273, 12.596 and 7.266 Å and the angles 90.00°, 109.48° and 90.00°. Symmetry generates all atoms from La at (0.000, 0.000, 0.000), Sm at (0.000, 0.333, 0.000), Y at (0.000, 0.166, 0.500), Y at (0.000, 0.500, 0.500), As at (0.245, 0.331, 0.742) and As at (0.248, 0.500, 0.257).



Here is crystalline La6SnAs4 at its relaxed geometry from the Alexandria database. Energies are from PBE.

Its raw total energy is -6.056 eV/atom. As for the density: 5.94 g cm⁻³. The crystal system is orthorhombic. For the calculated formation energy, the calculation gives -1.314 eV/atom. The value obtained for the total magnetization is 3.273 μB per cell.

The structure belongs to space group Cmcm (No. 63); the cell edges are 4.397, 14.334 and 22.201 Å and the angles 90.00°, 90.00° and 90.00°. Symmetry generates all atoms from La at (0.000, 0.000, 0.000), La at (0.000, 0.171, 0.250), La at (0.000, 0.273, 0.583), La at (0.000, 0.456, 0.161), Sn at (0.000, 0.162, 0.750), As at (0.000, 0.091, 0.126) and As at (0.000, 0.362, 0.042).



Here is crystalline LaSnAs2 at its relaxed geometry from the Alexandria database. Energies are from PBE.

Its raw total energy is -5.247 eV/atom. As for the density: 7.02 g cm⁻³. The crystal system is tetragonal. For the calculated formation energy, the calculation gives -0.690 eV/atom. The value obtained for the total magnetization is 0.000 μB per cell.

The structure belongs to space group P4/mmm (No. 123); the cell edges are 4.928, 4.928 and 3.969 Å and the angles 90.00°, 90.00° and 90.00°. Symmetry generates all atoms from La at (0.000, 0.000, 0.000), Sn at (0.500, 0.500, 0.000) and As at (0.000, 0.500, 0.500).



| no. | DOS at the Fermi energy (states/eV/cell) |
| --- | --- |
| 1 | 2.416 |
| 2 | 3.238 |
| 3 | 0.736 |
| 4 | 5.075 |
| 5 | 1.771 |
| 6 | 1.637 |
| 7 | 4.168 |
| 8 | 4.921 |
| 9 | 10.833 |
| 10 | 0.755 |
| 11 | 2.505 |
| 12 | 3.212 |
| 13 | 28.697 |
| 14 | 8.525 |
| 15 | 32.555 |
| 16 | 0.731 |
| 17 | 3.199 |
| 18 | 3.279 |
| 19 | 23.284 |
| 20 | 2.618 |